# 1
La2Te2Br: optimized geometry, GGA-PBEsol. Values from VASP.

Properties
Density of states at the Fermi level = 1.39 states/eV/f.u.
Formation energy from raw total energies = -1.704 eV per atom

```
&SYSTEM
  ibrav = 0, nat = 10, ntyp = 3
/
ATOMIC_SPECIES
La 138.91 La.upf
Te 127.60 Te.upf
Br 79.90 Br.upf
CELL_PARAMETERS angstrom
8.467 0.000 0.000
0.000 8.467 0.000
0.000 0.000 4.227
ATOMIC_POSITIONS crystal
La 0.156 0.344 0.000
La 0.344 0.844 0.000
La 0.656 0.156 0.000
La 0.844 0.656 0.000
Te 0.143 0.643 0.500
Te 0.357 0.143 0.500
Te 0.643 0.857 0.500
Te 0.857 0.357 0.500
Br 0.000 0.000 0.000
Br 0.500 0.500 0.000
```



# 2
HgPb2: optimized geometry, GGA-PBEsol. Values from VASP.

Properties
Density of states at the Fermi level = 1.46 states/eV/f.u.
Formation enthalpy at 0 K = 0.019 eV/atom

```
&SYSTEM
  ibrav = 0, nat = 6, ntyp = 2
/
ATOMIC_SPECIES
Hg 200.59 Hg.upf
Pb 207.20 Pb.upf
CELL_PARAMETERS angstrom
1.734 -8.569 0.000
1.734 8.569 0.000
0.000 0.000 5.547
ATOMIC_POSITIONS crystal
Hg 0.225 0.775 0.750
Hg 0.775 0.225 0.250
Pb 0.118 0.882 0.250
Pb 0.441 0.559 0.250
Pb 0.559 0.441 0.750
Pb 0.882 0.118 0.750
```



# 3
Na2ReAsPd: optimized geometry, GGA-PBEsol. Values from VASP.

Properties
Density of states at the Fermi level = 2.68 states/eV/f.u.
Formation enthalpy at 0 K = 0.988 eV/atom

```
&SYSTEM
  ibrav = 0, nat = 5, ntyp = 4
/
ATOMIC_SPECIES
Na 22.99 Na.upf
Re 186.21 Re.upf
As 74.92 As.upf
Pd 106.42 Pd.upf
CELL_PARAMETERS angstrom
5.012 0.000 0.000
0.000 5.012 0.000
0.000 0.000 4.621
ATOMIC_POSITIONS crystal
Na 0.000 0.500 0.000
Na 0.500 0.000 0.000
Re 0.000 0.000 0.500
As 0.000 0.000 0.000
Pd 0.500 0.500 0.500
```



# 4
Be2RePdS: optimized geometry, GGA-PBEsol. Values from VASP.

Properties
Density of states at the Fermi level = 4.80 states/eV/f.u.
Formation energy from raw total energies = 1.442 eV per atom

```
&SYSTEM
  ibrav = 0, nat = 5, ntyp = 4
/
ATOMIC_SPECIES
Be 9.01 Be.upf
Re 186.21 Re.upf
Pd 106.42 Pd.upf
S 32.06 S.upf
CELL_PARAMETERS angstrom
4.270 0.000 0.000
0.000 4.270 0.000
0.000 0.000 4.689
ATOMIC_POSITIONS crystal
Be 0.000 0.500 0.000
Be 0.500 0.000 0.000
Re 0.000 0.000 0.000
Pd 0.000 0.000 0.500
S 0.500 0.500 0.500
```